Record 1
Material: BaInIr2Pb
Method: DFT, PBE
State: relaxed

Summary:
Magnetic moment: 0.0 μB/f.u.
Uncorrected energy: -5.3315 eV per atom

Cell and atoms, written as extended XYZ:
```
10
Lattice="4.7906 0.0000 0.0000 0.0000 4.7906 0.0000 0.0000 0.0000 10.9120" Properties=species:S:1:pos:R:3 pbc="T T T"
Ba 1.1976 1.1976 2.5117
Ba 3.5929 3.5929 8.4003
In 1.1976 1.1976 9.6007
In 3.5929 3.5929 1.3113
Ir 1.1976 1.1976 6.8705
Ir 1.1976 3.5929 0.0000
Ir 3.5929 1.1976 0.0000
Ir 3.5929 3.5929 4.0415
Pb 1.1976 3.5929 5.4560
Pb 3.5929 1.1976 5.4560
```

Record 2
Material: BaHoTlS3
Method: DFT, PBE
State: relaxed

Summary:
Magnetic moment: 0.0 μB/f.u.
Uncorrected energy: -5.0064 eV per atom

Cell and atoms, written as extended XYZ:
```
12
Lattice="2.0531 -7.7273 0.0000 2.0531 7.7273 0.0000 0.0000 0.0000 11.6870" Properties=species:S:1:pos:R:3 pbc="T T T"
Ba 2.0531 5.2937 8.7652
Ba 2.0531 -5.2937 2.9217
Ho 2.0531 0.0000 0.0000
Ho 2.0531 0.0000 5.8435
Tl 2.0531 5.6946 2.9217
Tl 2.0531 -5.6946 8.7652
S 2.0531 5.9419 5.8687
S 2.0531 5.9419 11.6618
S 2.0531 0.0597 2.9217
S 2.0531 -0.0597 8.7652
S 2.0531 -5.9419 0.0252
S 2.0531 -5.9419 5.8183
```

Record 3
Material: Cu2Ag3
Method: DFT, PBE
State: relaxed

Summary:
Energy above the most stable polymorph in this dataset: 19.8 kJ/mol of formula units
DFT formation energy: 0.07 eV/atom

Cell and atoms, written as extended XYZ:
```
10
Lattice="1.4248 0.8226 22.2930 -1.4248 0.8226 22.2930 0.0000 -1.6452 22.2930" Properties=species:S:1:pos:R:3 pbc="T T T"
Cu 0.0000 0.0000 2.8462
Cu 0.0000 0.0000 23.2449
Cu 0.0000 0.0000 43.6342
Cu 0.0000 0.0000 64.0330
Ag 0.0000 0.0000 9.9285
Ag 0.0000 0.0000 17.2656
Ag 0.0000 0.0000 29.7787
Ag 0.0000 0.0000 37.1004
Ag 0.0000 0.0000 49.6136
Ag 0.0000 0.0000 56.9506
```

Record 4
Material: Cu5Ag4
Method: DFT, PBE
State: relaxed

Summary:
Energy above the most stable polymorph in this dataset: 44.1 kJ/mol of formula units
DFT formation energy: 0.09 eV/atom

Cell and atoms, written as extended XYZ:
```
9
Lattice="4.6869 -1.4138 0.0000 4.6869 1.4138 0.0000 -4.0729 0.0000 9.8927" Properties=species:S:1:pos:R:3 pbc="T T T"
Cu 0.0000 0.0000 0.0000
Cu -2.7712 0.0000 6.7833
Cu 3.6219 0.0000 5.5561
Cu 2.4123 0.0000 8.8074
Cu 7.7869 0.0000 3.4842
Ag 1.0481 0.0000 4.6728
Ag -0.1944 0.0000 7.7340
Ag 2.6112 0.0000 1.0777
Ag 5.1369 0.0000 2.2948
```

Record 5
Material: PaTcPb
Method: DFT, PBE
State: relaxed

Summary:
Energy above the most stable polymorph in this dataset: 0.0 kJ/mol of formula units
Magnetic moment: 1.9 μB/f.u.

Cell and atoms, written as extended XYZ:
```
3
Lattice="0.0000 3.4005 3.4005 3.4005 0.0000 3.4005 3.4005 3.4005 0.0000" Properties=species:S:1:pos:R:3 pbc="T T T"
Pa 0.0000 0.0000 0.0000
Tc 3.4005 3.4005 3.4005
Pb 1.7003 1.7003 1.7003
```

Record 6
Material: SrZnSeO
Method: DFT, PBE
State: relaxed

Summary:
Uncorrected energy: -4.2457 eV per atom

Cell and atoms, written as extended XYZ:
```
8
Lattice="1.7926 -6.4130 0.0000 1.7926 6.4130 0.0000 0.0000 0.0000 7.0836" Properties=species:S:1:pos:R:3 pbc="T T T"
Sr 1.7926 6.0489 3.5418
Sr 1.7926 -6.0489 0.0000
Zn 1.7926 2.4717 4.6411
Zn 1.7926 -2.4717 1.0993
Se 1.7926 1.8776 1.9873
Se 1.7926 -1.8776 5.5291
O 1.7926 4.8745 1.4737
O 1.7926 -4.8745 5.0155
```

Record 7
Material: PrDyRe
Method: DFT, PBE
State: relaxed

Summary:
Magnetic moment: 0.0 μB/f.u.
DFT formation energy: 1.13 eV/atom

Cell and atoms, written as extended XYZ:
```
3
Lattice="0.0000 3.4201 3.4201 3.4201 0.0000 3.4201 3.4201 3.4201 0.0000" Properties=species:S:1:pos:R:3 pbc="T T T"
Pr 0.0000 0.0000 0.0000
Dy 1.7101 1.7101 1.7101
Re 3.4201 3.4201 3.4201
```

Record 8
Material: La2PrZn2Si4Au2
Method: DFT, PBE
State: relaxed

Summary:
Energy above the most stable polymorph in this dataset: 57.4 kJ/mol of formula units
Magnetic moment: 0.0 μB/f.u.

Cell and atoms, written as extended XYZ:
```
11
Lattice="-2.1393 2.1700 12.4630 2.1393 -2.1700 12.4630 2.1393 2.1700 -12.4630" Properties=species:S:1:pos:R:3 pbc="T T T"
La 0.0000 0.0000 3.6390
La 0.0000 0.0000 21.2870
Pr 2.1393 0.0000 0.0000
Zn 0.0000 0.0000 10.1081
Zn 0.0000 0.0000 14.8179
Si 0.0000 0.0000 7.6923
Si 2.1393 0.0000 11.2800
Si 0.0000 2.1700 1.1830
Si 0.0000 0.0000 17.2337
Au 2.1393 0.0000 6.2368
Au 0.0000 2.1700 6.2262
```

Record 9
Material: BeZnCoW
Method: DFT, PBE
State: relaxed

Summary:
Energy above the most stable polymorph in this dataset: 97.6 kJ/mol of formula units
Magnetic moment: 1.6 μB/f.u.

Cell and atoms, written as extended XYZ:
```
4
Lattice="0.0000 2.8979 2.8979 2.8979 0.0000 2.8979 2.8979 2.8979 0.0000" Properties=species:S:1:pos:R:3 pbc="T T T"
Be 0.0000 0.0000 0.0000
Zn 2.8979 2.8979 2.8979
Co 4.3469 4.3469 4.3469
W 1.4490 1.4490 1.4490
```

no.,volume (Å³/atom)
1,25.04
2,30.90
3,15.68
4,14.57
5,26.21
6,20.36
7,26.67
8,21.04
9,12.17